1.
LaZrPb2 | GGA-PBEsol | relaxed

Unit cell a=4.505 b=4.505 c=10.658 alpha=90.00 beta=90.00 gamma=90.00
Space group I-4m2 (No. 119)
Unique sites:
La 0.000 0.000 0.000 [2 per cell]
Zr 0.000 0.500 0.250 [2 per cell]
Pb 0.000 0.000 0.500 [2 per cell]
Pb 0.000 0.500 0.750 [2 per cell]

Summary:
Its formation energy is -1.1 eV per formula unit.

---

2.
Ta2AsBr | GGA-PBEsol | relaxed

Unit cell a=3.146 b=4.532 c=9.931 alpha=90.00 beta=90.00 gamma=90.00
Space group Imm2 (No. 44)
Unique sites:
Ta 0.000 0.000 0.000 [2 per cell]
Ta 0.000 0.500 0.215 [2 per cell]
As 0.000 0.000 0.503 [2 per cell]
Br 0.000 0.500 0.720 [2 per cell]

Summary:
For the energy above the most stable polymorph in this dataset, the calculation gives 0.04 eV/f.u. The calculation puts the formation energy (no corrections) at 0.2002 eV per atom.

---

3.
Tl4CrI6 | GGA-PBEsol | relaxed

Unit cell a=8.871 b=8.871 c=9.549 alpha=90.00 beta=90.00 gamma=90.00
Space group P4/mnc (No. 128)
Unique sites:
Tl 0.142 0.358 0.250 [8 per cell]
Cr 0.000 0.000 0.000 [2 per cell]
I 0.000 0.000 0.285 [4 per cell]
I 0.141 0.701 0.000 [8 per cell]

Summary:
The calculation puts the formation energy (no corrections) at -0.4755 eV per atom.

---

4.
Co2ReH2 | GGA-PBEsol | relaxed

Unit cell a=2.628 b=2.628 c=11.425 alpha=90.00 beta=90.00 gamma=90.00
Space group I4/mmm (No. 139)
Unique sites:
Co 0.000 0.000 0.154 [4 per cell]
Re 0.000 0.000 0.500 [2 per cell]
H 0.000 0.500 0.250 [4 per cell]

Summary:
For the total energy, the calculation gives -0.521 Ry/atom.